A plane-wave DFT calculation with PBE-GGA was carried out for AgGeO3 after structural relaxation.

Cell: 3.7568 3.7568 3.7568 Å, 90.00 90.00 90.00°
Space group Pm-3m (No. 221)
Asymmetric unit:
Ag: 0.0000 0.0000 0.0000 [1 per cell]
Ge: 0.5000 0.5000 0.5000 [1 per cell]
O: 0.0000 0.5000 0.5000 [3 per cell]

Properties
The mass density is 7.16 g cm⁻³. The uncorrected formation energy comes out at -0.647 eV per atom.

---

A plane-wave DFT calculation with PBE-GGA was carried out for Ag5Ge2O6 after structural relaxation.

Cell: 9.1607 6.4355 13.8713 Å, 90.00 90.85 90.00°
Space group C2/c (No. 15)
Asymmetric unit:
Ag: 0.0000 0.0680 0.2500 [4 per cell]
Ag: 0.1055 0.2260 0.0496 [8 per cell]
Ag: 0.1348 0.3315 0.8140 [8 per cell]
Ge: 0.2104 0.3071 0.5924 [8 per cell]
O: 0.0558 0.4636 0.6051 [8 per cell]
O: 0.1651 0.0952 0.5036 [8 per cell]
O: 0.2019 0.2756 0.3015 [8 per cell]

Properties
The mass density is 6.34 g cm⁻³. The uncorrected formation energy comes out at -0.670 eV per atom.

---

A plane-wave DFT calculation with PBE-GGA was carried out for AgGe2O4 after structural relaxation.

Cell: 10.2054 5.8921 6.8376 Å, 90.00 119.80 90.00°
Space group Cm (No. 8)
Asymmetric unit:
Ag: 0.0000 0.0000 0.0000 [2 per cell]
Ag: 0.2166 0.5000 0.1482 [2 per cell]
Ge: 0.1145 0.2433 0.5865 [4 per cell]
Ge: 0.3580 0.0000 0.5865 [2 per cell]
Ge: 0.3902 0.0000 0.1695 [2 per cell]
O: 0.0854 0.5000 0.7559 [2 per cell]
O: 0.0879 0.0000 0.7346 [2 per cell]
O: 0.1087 0.5000 0.3914 [2 per cell]
O: 0.1302 0.0000 0.3898 [2 per cell]
O: 0.3235 0.2358 0.7346 [4 per cell]
O: 0.3918 0.2168 0.3915 [4 per cell]

Properties
The mass density is 5.90 g cm⁻³. The polymorph energy (0 for the lowest one) is 0 meV/atom. The uncorrected formation energy comes out at -1.145 eV per atom.

---

A plane-wave DFT calculation with PBE-GGA was carried out for Ag5GeO4 after structural relaxation.

Cell: 6.5481 10.0614 11.2559 Å, 90.00 124.49 90.00°
Space group P2_1/c (No. 14)
Asymmetric unit:
Ag: 0.0747 0.0843 0.4093 [4 per cell]
Ag: 0.1986 0.6227 0.4242 [4 per cell]
Ag: 0.3231 0.0930 0.8014 [4 per cell]
Ag: 0.3475 0.1248 0.0575 [4 per cell]
Ag: 0.3973 0.6447 0.1208 [4 per cell]
Ge: 0.2491 0.6138 0.7592 [4 per cell]
O: 0.0809 0.7103 0.5965 [4 per cell]
O: 0.1178 0.6400 0.8610 [4 per cell]
O: 0.2217 0.0609 0.2219 [4 per cell]
O: 0.4305 0.1567 0.6427 [4 per cell]

Properties
The mass density is 7.35 g cm⁻³. The polymorph energy (0 for the lowest one) is 0 meV/atom. The uncorrected formation energy comes out at -0.532 eV per atom.

---

A plane-wave DFT calculation with PBE-GGA was carried out for AgGeO3 after structural relaxation.

Cell: 9.4831 5.2525 5.6785 Å, 90.00 101.26 90.00°
Space group C2/m (No. 12)
Asymmetric unit:
Ag: 0.1839 0.0000 0.4659 [4 per cell]
Ge: 0.1473 0.5000 0.9944 [4 per cell]
O: 0.0242 0.5000 0.2205 [4 per cell]
O: 0.2346 0.2503 0.7943 [8 per cell]

Properties
The mass density is 5.47 g cm⁻³. The uncorrected formation energy comes out at -0.730 eV per atom.

---

A plane-wave DFT calculation with PBE-GGA was carried out for AgGe3O after structural relaxation.

Cell: 4.9373 4.9373 4.9373 Å, 90.00 90.00 90.00°
Space group Pm-3m (No. 221)
Asymmetric unit:
Ag: 0.0000 0.0000 0.0000 [1 per cell]
Ge: 0.0000 0.0000 0.5000 [3 per cell]
O: 0.5000 0.5000 0.5000 [1 per cell]

Properties
The mass density is 4.72 g cm⁻³. The polymorph energy (0 for the lowest one) is 997 meV/atom. The uncorrected formation energy comes out at 1.047 eV per atom.

---

A plane-wave DFT calculation with PBE-GGA was carried out for Ag4GeO4 after structural relaxation.

Cell: 7.5006 7.5006 4.5602 Å, 90.00 90.00 90.00°
Space group I4/m (No. 87)
Asymmetric unit:
Ag: 0.0936 0.2693 0.0000 [8 per cell]
Ge: 0.0000 0.0000 0.5000 [2 per cell]
O: 0.0466 0.2451 0.5000 [8 per cell]

Properties
The mass density is 7.35 g cm⁻³. The polymorph energy (0 for the lowest one) is 241 meV/atom. The uncorrected formation energy comes out at -0.344 eV per atom.

---

A plane-wave DFT calculation with PBE-GGA was carried out for Ag4Ge2O after structural relaxation.

Cell: 4.4042 4.4042 13.8165 Å, 90.00 90.00 90.00°
Space group I4/mmm (No. 139)
Asymmetric unit:
Ag: 0.0000 0.0000 0.1712 [4 per cell]
Ag: 0.0000 0.5000 0.0000 [4 per cell]
Ge: 0.0000 0.0000 0.3540 [4 per cell]
O: 0.0000 0.0000 0.0000 [2 per cell]

Properties
The mass density is 7.35 g cm⁻³. The uncorrected formation energy comes out at 0.275 eV per atom.